(1)
Crystalline ZrNp2TiN4 at its relaxed geometry. Source: Alexandria, functional PBE.

Results
formation energy without anion corrections	-1.385	eV/atom
magnetic moment	5.89	μB/cell

Cell lengths 3.2600, 5.6464, 5.7773 Å; angles 108.91, 90.00, 90.00 degrees
Last column: nearest neighbours and their distance in Å.
Positions (direct):
Zr 0.5000 0.5000 0.0000  6 N 2.29-2.30
Np 0.5000 0.0000 0.5000  6 N 2.36-2.37
Np 0.0000 0.5000 0.5000  6 N 2.43-2.44
Ti 0.0000 0.0000 0.0000  6 N 2.21-2.23
N 0.5000 0.2313 0.2253  2 Ti 2.23, 1 Zr 2.30, 3 Np 2.36-2.43
N 0.5000 0.7687 0.7747  2 Ti 2.23, 1 Zr 2.30, 3 Np 2.36-2.43
N 0.0000 0.2455 0.7700  1 Ti 2.21, 2 Zr 2.29, 3 Np 2.37-2.44
N 0.0000 0.7545 0.2300  1 Ti 2.21, 2 Zr 2.29, 3 Np 2.37-2.44

---

(2)
Crystalline ZnCdRu2 at its relaxed geometry. Source: Alexandria, functional PBE.

Results
energy of formation from the pure elements	7.19	kcal/mol of atoms
magnetic moment	0.00	μB/cell

Cell lengths 4.4337, 4.4337, 4.4337 Å; angles 60.00, 60.00, 60.00 degrees
Last column: nearest neighbours and their distance in Å.
Positions (direct):
Cd 0.5000 0.5000 0.5000  4 Zn 2.72, 4 Ru 2.72
Ru 0.0000 0.0000 0.0000  4 Ru 2.72, 4 Zn 2.72
Ru 0.2500 0.2500 0.2500  4 Cd 2.72, 4 Ru 2.72
Zn 0.7500 0.7500 0.7500  4 Cd 2.72, 4 Ru 2.72

---

(3)
Crystalline TmSc4Tl2 at its relaxed geometry. Source: Alexandria, functional PBE.

Results
energy relative to the lowest polymorph listed for this composition	25.0	kJ/mol of atoms
energy of formation from the pure elements	3.31	kcal/mol of atoms
magnetic moment	1.05	μB/cell

Cell lengths 5.8665, 5.8665, 6.5112 Å; angles 104.86, 104.86, 115.50 degrees
Last column: nearest neighbours and their distance in Å.
Positions (direct):
Tm 0.0000 0.0000 0.0000  4 Sc 2.93
Sc 0.7500 0.2500 0.5000  4 Sc 2.85-3.13, 4 Tl 3.19
Sc 0.2500 0.7500 0.5000  4 Sc 2.85-3.13, 4 Tl 3.19
Sc 0.5000 0.0000 0.0000  4 Sc 2.85-3.13, 2 Tm 2.93
Sc 0.0000 0.5000 0.0000  4 Sc 2.85-3.13, 2 Tm 2.93
Tl 0.6407 0.6407 0.2813  8 Sc 3.19-3.34, 1 Tl 3.21, 2 Tm 3.52
Tl 0.3593 0.3593 0.7187  8 Sc 3.19-3.34, 1 Tl 3.21, 2 Tm 3.52

---

(4)
Crystalline Ba2SrCdH at its relaxed geometry. Source: Alexandria, functional PBE.

Results
energy relative to the lowest polymorph listed for this composition	0.0	kJ/mol of atoms
magnetic moment	0.00	μB/cell

Cell lengths 5.9074, 5.9074, 5.0512 Å; angles 90.00, 90.00, 90.00 degrees
Last column: nearest neighbours and their distance in Å.
Positions (direct):
Sr 0.0000 0.0000 0.5000  2 H 2.53
Ba 0.0000 0.5000 0.0000  2 H 2.95
Ba 0.5000 0.0000 0.0000  2 H 2.95
H 0.0000 0.0000 0.0000  2 Sr 2.53
Cd 0.5000 0.5000 0.5000  8 Ba 3.89, 4 Sr 4.18

---

(5)
Crystalline Li2NiRh2 at its relaxed geometry. Source: Alexandria, functional PBE.

Results
energy relative to the lowest polymorph listed for this composition	0.0	kJ/mol of atoms
energy of formation from the pure elements	3.54	kcal/mol of atoms
magnetic moment	2.36	μB/cell

Cell lengths 6.4360, 6.4360, 2.8929 Å; angles 90.00, 90.00, 90.00 degrees
Last column: nearest neighbours and their distance in Å.
Positions (direct):
Ni 0.0000 0.0000 0.0000  4 Li 2.58, 8 Rh 2.76
Ni 0.5000 0.5000 0.0000  4 Li 2.58, 8 Rh 2.76
Rh 0.1876 0.6876 0.5000  6 Li 2.30-2.48
Rh 0.6876 0.8124 0.5000  6 Li 2.30-2.48
Rh 0.8124 0.3124 0.5000  6 Li 2.30-2.48
Rh 0.3124 0.1876 0.5000  6 Li 2.30-2.48
Li 0.3838 0.8838 0.0000  1 Li 2.12, 2 Rh 2.30
Li 0.8838 0.6162 0.0000  1 Li 2.12, 2 Rh 2.30
Li 0.6162 0.1162 0.0000  1 Li 2.12, 2 Rh 2.30
Li 0.1162 0.3838 0.0000  1 Li 2.12, 2 Rh 2.30

---

(6)
Crystalline ThCdH at its relaxed geometry. Source: Alexandria, functional PBE.

Results
final energy	-4.158	eV per atom
magnetic moment	0.00	μB/cell

Cell lengths 4.4021, 6.5593, 8.1314 Å; angles 90.00, 90.00, 90.00 degrees
Last column: nearest neighbours and their distance in Å.
Positions (direct):
H 0.7500 0.8114 0.6274  3 Th 2.42-2.49
H 0.7500 0.1886 0.1274  3 Th 2.42-2.49
H 0.2500 0.6886 0.3726  3 Th 2.42-2.49
H 0.2500 0.3114 0.8726  3 Th 2.42-2.49
Th 0.7500 0.8580 0.3317  3 H 2.42-2.49
Th 0.7500 0.1420 0.8317  3 H 2.42-2.49
Th 0.2500 0.6420 0.6683  3 H 2.42-2.49
Th 0.2500 0.3580 0.1683  3 H 2.42-2.49
Cd 0.7500 0.3787 0.4635  2 Cd 2.84, 4 H 3.00-3.14
Cd 0.7500 0.6213 0.9635  2 Cd 2.84, 4 H 3.00-3.14
Cd 0.2500 0.1213 0.5365  2 Cd 2.84, 4 H 3.00-3.14
Cd 0.2500 0.8787 0.0365  2 Cd 2.84, 4 H 3.00-3.14